No. 1
# KCuAg2

A relaxed KCuAg2 crystal (GGA-PBEsol, Alexandria).

Lattice parameters (Å, degrees): 5.1233 5.1233 2.9235 90.00 90.00 90.00
With the nearest neighbours (Å) after each atom.
Fractional positions:
1 K 0.0000 0.0000 0.0000  2 K 2.92, 8 Ag 2.95
2 Cu 0.5000 0.5000 0.0000  2 Cu 2.92, 8 Ag 2.95
3 Ag 0.0000 0.5000 0.5000  2 Ag 2.92, 4 K 2.95, 4 Cu 2.95
4 Ag 0.5000 0.0000 0.5000  2 Ag 2.92, 4 K 2.95, 4 Cu 2.95

Calculated values
Excess energy over the best structure of this formula in the dataset ... 18.86 kJ/mol of atoms
Formation enthalpy at 0 K ... 48.64 kJ per mole of atoms
Size of the total moment ... 0.00 μB/atom
Calculated volume ... 76.74 Å³/f.u.

No. 2
# YWAuO2

A relaxed YWAuO2 crystal (GGA-PBEsol, Alexandria).

Lattice parameters (Å, degrees): 4.0983 4.0983 5.3953 90.00 90.00 90.00
With the nearest neighbours (Å) after each atom.
Fractional positions:
1 Y 0.0000 0.0000 0.0000  2 Au 2.70, 4 W 2.90
2 W 0.5000 0.5000 0.0000  4 Y 2.90
3 Au 0.0000 0.0000 0.5000  4 O 2.05
4 O 0.0000 0.5000 0.5000  2 Au 2.05
5 O 0.5000 0.0000 0.5000  2 Au 2.05

Calculated values
Size of the total moment ... 0.51 μB/atom
Calculated volume ... 90.62 Å³/f.u.
Raw formation energy ... 574 kJ/mol of formula units

No. 3
# Ba2PtCl

A relaxed Ba2PtCl crystal (GGA-PBEsol, Alexandria).

Lattice parameters (Å, degrees): 8.3905 8.3905 8.3905 152.37 151.48 40.13
With the nearest neighbours (Å) after each atom.
Fractional positions:
1 Ba 0.0000 0.0000 0.0000  4 Pt 3.19, 2 Cl 3.41
2 Ba 0.7324 0.2324 0.5000  2 Pt 3.05, 4 Cl 3.25
3 Pt 0.5867 0.5867 0.0000  6 Ba 3.05-3.19
4 Cl 0.3282 0.8282 0.5000  6 Ba 3.25-3.41

Calculated values
Excess energy over the best structure of this formula in the dataset ... 13.54 kJ/mol of atoms
Size of the total moment ... 0.00 μB/atom
Calculated volume ... 130.54 Å³/f.u.
Raw formation energy ... -449 kJ/mol of formula units

No. 4
# Fe2HgRu

A relaxed Fe2HgRu crystal (GGA-PBEsol, Alexandria).

Lattice parameters (Å, degrees): 4.6938 4.6938 4.6938 132.17 132.17 69.96
With the nearest neighbours (Å) after each atom.
Fractional positions:
1 Fe 0.0000 0.0000 0.0000  4 Hg 2.69, 4 Fe 2.71, 4 Ru 2.71
2 Fe 0.7500 0.2500 0.5000  4 Ru 2.69, 4 Hg 2.71, 4 Fe 2.71
3 Hg 0.5000 0.5000 0.0000  8 Fe 2.69-2.71, 4 Ru 2.71
4 Ru 0.2500 0.7500 0.5000  8 Fe 2.69-2.71, 4 Hg 2.71

Calculated values
Formation enthalpy at 0 K ... 43.88 kJ per mole of atoms
Size of the total moment ... 1.47 μB/atom
Calculated volume ... 55.70 Å³/f.u.

No. 5
# Sb

A relaxed Sb crystal (GGA-PBEsol, Alexandria).

Lattice parameters (Å, degrees): 5.0677 5.0677 5.9999 90.00 90.00 120.00
With the nearest neighbours (Å) after each atom.
Fractional positions:
1 Sb 0.0000 0.0000 0.2500  5 Sb 2.93-3.00
2 Sb 0.0000 0.0000 0.7500  5 Sb 2.93-3.00
3 Sb 0.3333 0.6667 0.2500  3 Sb 2.93
4 Sb 0.6667 0.3333 0.7500  3 Sb 2.93

Calculated values
Excess energy over the best structure of this formula in the dataset ... 38.36 kJ/mol of atoms
Size of the total moment ... 0.00 μB/atom
Calculated volume ... 33.36 Å³/f.u.
Raw formation energy ... 38 kJ/mol of formula units

No. 6
# Be2IrAu

A relaxed Be2IrAu crystal (GGA-PBEsol, Alexandria).

Lattice parameters (Å, degrees): 2.8763 2.8763 5.5869 90.00 90.00 90.00
With the nearest neighbours (Å) after each atom.
Fractional positions:
1 Be 0.0000 0.0000 0.2159  4 Ir 2.36, 1 Be 2.41, 4 Au 2.58
2 Be 0.0000 0.0000 0.7841  4 Ir 2.36, 1 Be 2.41, 4 Au 2.58
3 Ir 0.5000 0.5000 0.0000  8 Be 2.36
4 Au 0.5000 0.5000 0.5000  8 Be 2.58, 2 Ir 2.79, 4 Au 2.88

Calculated values
Formation enthalpy at 0 K ... -45.46 kJ per mole of atoms
Size of the total moment ... 0.00 μB/atom
Calculated volume ... 46.22 Å³/f.u.

No. 7
# TaTe2CN

A relaxed TaTe2CN crystal (GGA-PBEsol, Alexandria).

Lattice parameters (Å, degrees): 5.8438 5.8438 2.6482 90.00 90.00 90.00
With the nearest neighbours (Å) after each atom.
Fractional positions:
1 Ta 0.0000 0.0000 0.0000  2 Ta 2.65
2 Te 0.0000 0.5000 0.5000  2 Te 2.65, 2 C 2.92
3 Te 0.5000 0.0000 0.5000  2 Te 2.65, 2 C 2.92
4 C 0.5000 0.5000 0.5000  2 N 1.32
5 N 0.5000 0.5000 0.0000  2 C 1.32

Calculated values
Size of the total moment ... 0.00 μB/atom
Calculated volume ... 90.44 Å³/f.u.
Raw formation energy ... 587 kJ/mol of formula units

No. 8
# Bi3SbW2O12

A relaxed Bi3SbW2O12 crystal (GGA-PBEsol, Alexandria).

Lattice parameters (Å, degrees): 5.4369 5.4510 8.7023 108.13 90.14 90.41
With the nearest neighbours (Å) after each atom.
Fractional positions:
1 Bi 0.0000 0.0000 0.0000  4 O 2.23-2.39
2 Bi 0.0473 0.3552 0.6859  5 O 2.22-2.44
3 Bi 0.4984 0.8520 0.6851  5 O 2.19-2.45
4 Sb 0.5553 0.4906 0.9859  3 O 2.06-2.21
5 W 0.0195 0.7182 0.3414  4 O 1.81-1.89
6 W 0.5196 0.2188 0.3402  4 O 1.82-1.89
7 O 0.1038 0.8925 0.5590  1 W 1.89
8 O 0.2541 0.7125 0.8398  3 Bi 2.19-2.28
9 O 0.2601 0.4796 0.3018  1 W 1.81
10 O 0.2688 0.9833 0.2983  1 W 1.82
11 O 0.2960 0.2172 0.8431  1 Sb 2.14, 2 Bi 2.22-2.32
12 O 0.4383 0.3898 0.5583  1 W 1.89
13 O 0.5999 0.1824 0.1246  1 W 1.88
14 O 0.7526 0.6984 0.8421  1 Sb 2.21, 2 Bi 2.23-2.28
15 O 0.7655 0.0250 0.3829  1 W 1.82
16 O 0.7681 0.5284 0.3864  1 W 1.82
17 O 0.7857 0.2104 0.8459  1 Sb 2.06, 1 Bi 2.29
18 O 0.9357 0.6715 0.1244  1 W 1.88

Calculated values
Size of the total moment ... 0.00 μB/atom
Calculated volume ... 245.10 Å³/f.u.
Raw formation energy ... -2989 kJ/mol of formula units

No. 9
# Li2AsW

A relaxed Li2AsW crystal (GGA-PBEsol, Alexandria).

Lattice parameters (Å, degrees): 5.2919 5.2919 2.7103 98.35 98.35 124.17
With the nearest neighbours (Å) after each atom.
Fractional positions:
1 Li 0.0000 0.5000 0.0000  4 Li 2.48-2.71
2 Li 0.5000 0.0000 0.0000  4 Li 2.48-2.71
3 As 0.0000 0.0000 0.5000  2 W 2.48, 2 As 2.71
4 W 0.5000 0.5000 0.5000  2 As 2.48, 2 W 2.71

Calculated values
Formation enthalpy at 0 K ... 13.51 kJ per mole of atoms
Size of the total moment ... 0.00 μB/atom
Calculated volume ... 59.70 Å³/f.u.

No. 10
# CrAsAuSe2

A relaxed CrAsAuSe2 crystal (GGA-PBEsol, Alexandria).

Lattice parameters (Å, degrees): 5.0715 5.0715 4.8256 90.00 90.00 90.00
With the nearest neighbours (Å) after each atom.
Fractional positions:
1 Cr 0.0000 0.0000 0.0000  8 Se 3.50, 4 As 3.59
2 As 0.5000 0.5000 0.0000  2 Au 2.41
3 Au 0.5000 0.5000 0.5000  2 As 2.41, 4 Se 2.54
4 Se 0.0000 0.5000 0.5000  2 Au 2.54
5 Se 0.5000 0.0000 0.5000  2 Au 2.54

Calculated values
Size of the total moment ... 0.67 μB/atom
Calculated volume ... 124.11 Å³/f.u.
Raw formation energy ... 454 kJ/mol of formula units

No. 11
# TlP2Se

A relaxed TlP2Se crystal (GGA-PBEsol, Alexandria).

Lattice parameters (Å, degrees): 3.2017 3.2017 8.5319 90.00 90.00 90.00
With the nearest neighbours (Å) after each atom.
Fractional positions:
1 Tl 0.0000 0.0000 0.0000  1 P 3.04, 4 Tl 3.20
2 P 0.0000 0.0000 0.3558  4 P 2.35
3 P 0.5000 0.5000 0.4291  1 Se 2.27, 4 P 2.35
4 Se 0.5000 0.5000 0.6951  1 P 2.27

Calculated values
Excess energy over the best structure of this formula in the dataset ... 7.99 kJ/mol of atoms
Size of the total moment ... 0.00 μB/atom
Calculated volume ... 87.46 Å³/f.u.
Raw formation energy ... 48 kJ/mol of formula units

No. 12
# Co3RuF

A relaxed Co3RuF crystal (GGA-PBEsol, Alexandria).

Lattice parameters (Å, degrees): 3.8886 3.8886 3.8886 90.00 90.00 90.00
With the nearest neighbours (Å) after each atom.
Fractional positions:
1 Co 0.0000 0.0000 0.5000  2 F 1.94
2 Co 0.0000 0.5000 0.0000  2 F 1.94
3 Co 0.5000 0.0000 0.0000  2 F 1.94
4 Ru 0.5000 0.5000 0.5000  12 Co 2.75
5 F 0.0000 0.0000 0.0000  6 Co 1.94

Calculated values
Size of the total moment ... 1.55 μB/atom
Calculated volume ... 58.80 Å³/f.u.
Raw formation energy ... 286 kJ/mol of formula units